Record 1
Computed, not measured: Y2GeSe after structural relaxation at the GGA-PBEsol level of DFT.

Unit cell a=7.0869 b=7.0869 c=7.0869 alpha=90.00 beta=90.00 gamma=90.00
Space group Fm-3m (No. 225)
Unique sites:
Y: 0.2500 0.2500 0.2500 x8
Ge: 0.0000 0.0000 0.0000 x4
Se: 0.0000 0.0000 0.5000 x4



Record 2
Computed, not measured: YGeSe2 after structural relaxation at the GGA-PBEsol level of DFT.

Unit cell a=3.7631 b=3.7631 c=25.3833 alpha=90.00 beta=90.00 gamma=120.00
Space group R-3m (No. 166, hexagonal axes)
Unique sites:
Y: 0.0000 0.0000 0.0000 x3
Ge: 0.0000 0.0000 0.5000 x3
Se: 0.0000 0.0000 0.1069 x6



Record 3
Computed, not measured: SiGe after structural relaxation at the GGA-PBEsol level of DFT.

Unit cell a=3.8976 b=3.8976 c=6.4389 alpha=90.00 beta=90.00 gamma=120.00
Space group P6_3mc (No. 186)
Unique sites:
Si: 0.3333 0.6667 0.0000 x2
Ge: 0.3333 0.6667 0.3741 x2



Record 4
Computed, not measured: SiGe after structural relaxation at the GGA-PBEsol level of DFT.

Unit cell a=11.0767 b=5.5398 c=11.0783 alpha=90.00 beta=90.01 gamma=90.00
Space group P2_1 (No. 4)
Unique sites:
Si: 0.0008 0.0000 0.1264 x2
Si: 0.1230 0.2415 0.2503 x2
Si: 0.1269 0.7418 0.5017 x2
Si: 0.2506 0.9929 0.8714 x2
Si: 0.2527 0.5002 0.6234 x2
Si: 0.3730 0.7516 0.7457 x2
Si: 0.3769 0.2513 0.5018 x2
Si: 0.4971 0.9932 0.6214 x2
Ge: 0.0008 0.4924 0.3765 x2
Ge: 0.1229 0.7519 0.9978 x2
Ge: 0.1269 0.2517 0.7498 x2
Ge: 0.2469 0.4925 0.1264 x2
Ge: 0.2490 0.0002 0.3785 x2
Ge: 0.3730 0.2411 0.9979 x2
Ge: 0.3770 0.7414 0.2541 x2
Ge: 0.4970 0.5006 0.8715 x2



Record 5
Computed, not measured: Si7Ge after structural relaxation at the GGA-PBEsol level of DFT.

Unit cell a=5.4595 b=5.4595 c=5.4595 alpha=90.00 beta=90.00 gamma=90.00
Space group P-43m (No. 215)
Unique sites:
Si: 0.0000 0.0000 0.5000 x3
Si: 0.2475 0.2475 0.7525 x4
Ge: 0.5000 0.5000 0.5000 x1



Record 6
Computed, not measured: SiGe after structural relaxation at the GGA-PBEsol level of DFT.

Unit cell a=5.5350 b=5.5350 c=5.5350 alpha=90.00 beta=90.00 gamma=90.00
Space group F-43m (No. 216)
Unique sites:
Si: 0.0000 0.0000 0.0000 x4
Ge: 0.2500 0.2500 0.7500 x4



Record 7
Computed, not measured: Si2SnGe after structural relaxation at the GGA-PBEsol level of DFT.

Unit cell a=5.7711 b=5.7711 c=11.4746 alpha=90.00 beta=90.00 gamma=90.00
Space group I-42d (No. 122)
Unique sites:
Si: 0.2235 0.2500 0.1250 x8
Sn: 0.0000 0.0000 0.5000 x4
Ge: 0.0000 0.0000 0.0000 x4



Record 8
Computed, not measured: SiSn2Ge after structural relaxation at the GGA-PBEsol level of DFT.

Unit cell a=6.0500 b=6.0500 c=12.1023 alpha=90.00 beta=90.00 gamma=90.00
Space group I-42d (No. 122)
Unique sites:
Si: 0.0000 0.0000 0.0000 x4
Sn: 0.2439 0.2500 0.1250 x8
Ge: 0.0000 0.0000 0.5000 x4



Record 9
Computed, not measured: SrSiGe after structural relaxation at the GGA-PBEsol level of DFT.

Unit cell a=4.2687 b=4.2687 c=4.4454 alpha=90.00 beta=90.00 gamma=120.00
Space group P-6m2 (No. 187)
Unique sites:
Sr: 0.0000 0.0000 0.0000 x1
Si: 0.3333 0.6667 0.5000 x1
Ge: 0.6667 0.3333 0.5000 x1



Record 10
Computed, not measured: TaSi2Ge after structural relaxation at the GGA-PBEsol level of DFT.

Unit cell a=7.0569 b=7.0569 c=5.3073 alpha=90.00 beta=90.00 gamma=90.00
Space group I-42d (No. 122)
Unique sites:
Ta: 0.0000 0.0000 0.0000 x4
Si: 0.2461 0.2500 0.6250 x8
Ge: 0.0000 0.0000 0.5000 x4



Record 11
Computed, not measured: Ta2Si2Ge after structural relaxation at the GGA-PBEsol level of DFT.

Unit cell a=3.4002 b=3.4002 c=13.7829 alpha=90.00 beta=90.00 gamma=90.00
Space group I4/mmm (No. 139)
Unique sites:
Ta: 0.0000 0.0000 0.1035 x4
Si: 0.0000 0.5000 0.2500 x4
Ge: 0.0000 0.0000 0.5000 x2



Record 12
Computed, not measured: Tb2SiGe after structural relaxation at the GGA-PBEsol level of DFT.

Unit cell a=3.8541 b=4.2583 c=10.5553 alpha=90.00 beta=90.00 gamma=90.00
Space group Amm2 (No. 38)
Unique sites:
Tb: 0.0000 0.0000 0.0000 x2
Tb: 0.5000 0.0000 0.2796 x2
Si: 0.5000 0.0000 0.5590 x2
Ge: 0.0000 0.0000 0.7186 x2



Record 13
Computed, not measured: Si2TcGe after structural relaxation at the GGA-PBEsol level of DFT.

Unit cell a=5.7209 b=5.7209 c=9.9560 alpha=90.00 beta=90.00 gamma=90.00
Space group I-42d (No. 122)
Unique sites:
Si: 0.2357 0.2500 0.1250 x8
Tc: 0.0000 0.0000 0.0000 x4
Ge: 0.0000 0.0000 0.5000 x4



Record 14
Computed, not measured: Si2Tc2Ge after structural relaxation at the GGA-PBEsol level of DFT.

Unit cell a=4.4003 b=4.4003 c=8.0174 alpha=90.00 beta=90.00 gamma=90.00
Space group I4/mmm (No. 139)
Unique sites:
Si: 0.0000 0.0000 0.1380 x4
Tc: 0.0000 0.5000 0.2500 x4
Ge: 0.0000 0.0000 0.5000 x2



Record 15
Computed, not measured: SiGeTe2 after structural relaxation at the GGA-PBEsol level of DFT.

Properties
relative energy among the computed polymorphs = 0.00 eV/f.u.

Unit cell a=3.7527 b=3.7527 c=26.8831 alpha=90.00 beta=90.00 gamma=120.00
Space group R-3m (No. 166, hexagonal axes)
Unique sites:
Si: 0.0000 0.0000 0.0000 x3
Ge: 0.0000 0.0000 0.5000 x3
Te: 0.0000 0.0000 0.3929 x6



Record 16
Computed, not measured: SiGeTe2 after structural relaxation at the GGA-PBEsol level of DFT.

Properties
relative energy among the computed polymorphs = 0.02 eV/f.u.

Unit cell a=7.4070 b=7.4070 c=7.6091 alpha=90.00 beta=90.00 gamma=90.00
Space group I-42d (No. 122)
Unique sites:
Si: 0.0000 0.0000 0.0000 x4
Ge: 0.0000 0.0000 0.5000 x4
Te: 0.2351 0.2500 0.1250 x8



Record 17
Computed, not measured: V10Si3Ge3 after structural relaxation at the GGA-PBEsol level of DFT.

Properties
relative energy among the computed polymorphs = 0.00 eV/f.u.

Unit cell a=4.7449 b=13.2177 c=13.2692 alpha=90.00 beta=90.00 gamma=90.00
Space group Fmm2 (No. 42)
Unique sites:
V: 0.0000 0.0975 0.0000 x8
V: 0.0000 0.0978 0.3440 x8
V: 0.0000 0.1734 0.5746 x8
V: 0.0000 0.1750 0.7672 x8
V: 0.2481 0.0000 0.1690 x8
Si: 0.0000 0.0000 0.5052 x4
Si: 0.0000 0.1655 0.1714 x8
Ge: 0.0000 0.0000 0.8367 x4
Ge: 0.2500 0.2500 0.4213 x8



Record 18
Computed, not measured: V10Si3Ge3 after structural relaxation at the GGA-PBEsol level of DFT.

Properties
relative energy among the computed polymorphs = 0.70 eV/f.u.

Unit cell a=7.1256 b=7.1256 c=4.8008 alpha=90.00 beta=90.00 gamma=120.00
Space group P-62m (No. 189)
Unique sites:
V: 0.0000 0.2587 0.0000 x3
V: 0.0000 0.7798 0.5000 x3
V: 0.3333 0.6667 0.2523 x4
Si: 0.0000 0.3990 0.5000 x3
Ge: 0.0000 0.6124 0.0000 x3



Record 19
Computed, not measured: SiGeW2 after structural relaxation at the GGA-PBEsol level of DFT.

Unit cell a=6.1366 b=6.1366 c=6.1366 alpha=90.00 beta=90.00 gamma=90.00
Space group Fm-3m (No. 225)
Unique sites:
Si: 0.0000 0.0000 0.0000 x4
Ge: 0.0000 0.0000 0.5000 x4
W: 0.2500 0.2500 0.2500 x8



Record 20
Computed, not measured: Y10Si3Ge3 after structural relaxation at the GGA-PBEsol level of DFT.

Unit cell a=8.3910 b=8.3910 c=6.3095 alpha=90.00 beta=90.00 gamma=120.00
Space group P-62m (No. 189)
Unique sites:
Y: 0.0000 0.2425 0.0000 x3
Y: 0.0000 0.7570 0.5000 x3
Y: 0.3333 0.6667 0.2480 x4
Si: 0.0000 0.6052 0.0000 x3
Ge: 0.0000 0.3946 0.5000 x3



| no. | size of the total moment (Bohr magnetons per cell) | E_form (uncorrected) (eV per atom) | E_tot (eV/atom) |
| --- | --- | --- | --- |
| 1 | 0.00 | -1.05 | -6.6631 |
| 2 | 0.00 | -0.40 | -5.2672 |
| 3 | 0.00 | 0.03 | -5.3166 |
| 4 | 0.00 | 0.01 | -5.3336 |
| 5 | 0.00 | 0.00 | -5.6415 |
| 6 | 0.00 | 0.01 | -5.3283 |
| 7 | 0.00 | 0.10 | -5.0757 |
| 8 | 0.00 | 0.10 | -4.7016 |
| 9 | 0.00 | -0.40 | -4.5792 |
| 10 | 0.00 | 0.30 | -6.9468 |
| 11 | 0.00 | -0.30 | -8.6057 |
| 12 | 0.00 | -0.91 | -6.0867 |
| 13 | 0.00 | 0.57 | -6.3560 |
| 14 | 0.00 | 0.12 | -7.6731 |
| 15 | 0.00 | 0.30 | -4.1375 |
| 16 | 0.00 | 0.30 | -4.1324 |
| 17 | 0.00 | -0.52 | -8.5444 |
| 18 | 0.00 | -0.48 | -8.5009 |
| 19 | 0.00 | 0.21 | -9.3652 |
| 20 | 0.00 | -0.82 | -7.0905 |